# 1
A plane-wave DFT calculation with PBE-GGA was carried out for a relaxed structure of Sc2NiMo. Values from VASP.

Computed properties:
- SG = Cmmm, No. 65
- formation enthalpy at 0 K (meV per atom) = -81

Cell and atoms, written as Quantum ESPRESSO input:
```
&SYSTEM
  ibrav = 0, nat = 4, ntyp = 3
/
ATOMIC_SPECIES
Sc 44.96 Sc.upf
Ni 58.69 Ni.upf
Mo 95.94 Mo.upf
CELL_PARAMETERS angstrom
2.082 -2.175 0.000
2.082 2.175 0.000
0.000 0.000 7.600
ATOMIC_POSITIONS angstrom
Sc 0.000 0.000 1.690
Sc 0.000 0.000 5.910
Ni 2.082 0.000 0.000
Mo 2.082 0.000 3.800
```

---

# 2
A plane-wave DFT calculation with PBE-GGA was carried out for a relaxed structure of ScNiMoSe2. Values from VASP.

Computed properties:
- SG = P4/mmm, No. 123
- raw formation energy (eV/atom) = 0.61

Cell and atoms, written as Quantum ESPRESSO input:
```
&SYSTEM
  ibrav = 0, nat = 5, ntyp = 4
/
ATOMIC_SPECIES
Sc 44.96 Sc.upf
Ni 58.69 Ni.upf
Mo 95.94 Mo.upf
Se 78.96 Se.upf
CELL_PARAMETERS angstrom
5.025 0.000 0.000
0.000 5.025 0.000
0.000 0.000 4.485
ATOMIC_POSITIONS angstrom
Sc 0.000 0.000 0.000
Ni 0.000 0.000 2.242
Mo 2.513 2.513 2.242
Se 0.000 2.513 0.000
Se 2.513 0.000 0.000
```